(1)
# KMg2

A relaxed KMg2 crystal (PBE, Alexandria).

CIF file:
```
data_KMg2
_chemical_formula_sum 'K2 Mg4'
_cell_length_a 3.358
_cell_length_b 4.752
_cell_length_c 13.104
_cell_angle_alpha 90.00
_cell_angle_beta 90.00
_cell_angle_gamma 90.00
_space_group_name_H-M_alt 'I m m m'
_space_group_IT_number 71
_space_group_name_Hall '-I 2 2'
loop_
_atom_site_label
_atom_site_fract_x
_atom_site_fract_y
_atom_site_fract_z
_atom_site_occupancy
K1 0.000 0.000 0.000 1
Mg1 0.000 0.000 0.292 1
```

- formation energy from the elements (meV per atom) = 178.3
- DFT total energy (eV/atom) = -1.25
- ρ (Mg/m³) = 1.39
- N(E_F) (states/eV/f.u.) = 1.6

---

(2)
# KMg2

A relaxed KMg2 crystal (PBE, Alexandria).

CIF file:
```
data_KMg2
_chemical_formula_sum 'K4 Mg8'
_cell_length_a 3.516
_cell_length_b 18.649
_cell_length_c 6.081
_cell_angle_alpha 90.00
_cell_angle_beta 90.00
_cell_angle_gamma 90.00
_space_group_name_H-M_alt 'C m c m'
_space_group_IT_number 63
_space_group_name_Hall '-C 2c 2'
loop_
_atom_site_label
_atom_site_fract_x
_atom_site_fract_y
_atom_site_fract_z
_atom_site_occupancy
K1 0.000 0.112 0.250 1
Mg1 0.000 0.211 0.750 1
Mg2 0.000 0.439 0.250 1
```

- formation energy from the elements (meV per atom) = 245.2
- DFT total energy (eV/atom) = -1.18
- ρ (Mg/m³) = 1.46
- N(E_F) (states/eV/f.u.) = 2.0

---

(3)
# K4Mg5

A relaxed K4Mg5 crystal (PBE, Alexandria).

CIF file:
```
data_K4Mg5
_chemical_formula_sum 'K8 Mg10'
_cell_length_a 11.786
_cell_length_b 11.786
_cell_length_c 5.274
_cell_angle_alpha 90.00
_cell_angle_beta 90.00
_cell_angle_gamma 90.00
_space_group_name_H-M_alt 'I 4/m m m'
_space_group_IT_number 139
_space_group_name_Hall '-I 4 2'
loop_
_atom_site_label
_atom_site_fract_x
_atom_site_fract_y
_atom_site_fract_z
_atom_site_occupancy
K1 0.000 0.310 0.000 1
Mg1 0.000 0.000 0.000 1
Mg2 0.135 0.135 0.500 1
```

- formation energy from the elements (meV per atom) = 225.9
- DFT total energy (eV/atom) = -1.15
- ρ (Mg/m³) = 1.26
- N(E_F) (states/eV/f.u.) = 6.0
- E above lowest polymorph (meV/atom) = 0

---

(4)
# KMg2

A relaxed KMg2 crystal (PBE, Alexandria).

CIF file:
```
data_KMg2
_chemical_formula_sum 'K4 Mg8'
_cell_length_a 5.088
_cell_length_b 5.088
_cell_length_c 18.712
_cell_angle_alpha 90.00
_cell_angle_beta 90.00
_cell_angle_gamma 90.00
_space_group_name_H-M_alt 'I 41/a m d'
_space_group_IT_number 141
loop_
_space_group_symop_operation_xyz
'x,y,z'
'-x,-y,-z'
'-y+1/4,x+3/4,z+1/4'
'y+1/4,-x+3/4,-z+1/4'
'-x+1/2,-y,z+1/2'
'x+1/2,y,-z+1/2'
'y+1/4,-x+1/4,z+3/4'
'-y+1/4,x+1/4,-z+3/4'
'x,-y,-z'
'-x,y,z'
'-y+1/4,-x+1/4,-z+3/4'
'y+1/4,x+1/4,z+3/4'
'-x+1/2,y,-z+1/2'
'x+1/2,-y,z+1/2'
'y+1/4,x+3/4,-z+1/4'
'-y+1/4,-x+3/4,z+1/4'
'x+1/2,y+1/2,z+1/2'
'-x+1/2,-y+1/2,-z+1/2'
'-y+3/4,x+1/4,z+3/4'
'y+3/4,-x+1/4,-z+3/4'
'-x,-y+1/2,z'
'x,y+1/2,-z'
'y+3/4,-x+3/4,z+1/4'
'-y+3/4,x+3/4,-z+1/4'
'x+1/2,-y+1/2,-z+1/2'
'-x+1/2,y+1/2,z+1/2'
'-y+3/4,-x+3/4,-z+1/4'
'y+3/4,x+3/4,z+1/4'
'-x,y+1/2,-z'
'x,-y+1/2,z'
'y+3/4,x+1/4,-z+3/4'
'-y+3/4,-x+1/4,z+3/4'
loop_
_atom_site_label
_atom_site_fract_x
_atom_site_fract_y
_atom_site_fract_z
_atom_site_occupancy
K1 0.000 0.250 0.375 1
Mg1 0.000 0.250 0.793 1
```

- formation energy from the elements (meV per atom) = 271.9
- DFT total energy (eV/atom) = -1.16
- ρ (Mg/m³) = 1.20
- N(E_F) (states/eV/f.u.) = 1.6

---

What is the formula in the third record? K4Mg5

---

Look up the ρ of the fourth one. 1.20 Mg/m³

---

The lowest DFT total energy belongs to which entry? number 1